Entry i
Entry from Alexandria: a relaxed AlSiCl crystal (GGA-PBE).

Cell lengths 3.4302, 3.8139, 11.4819 Å; angles 85.37, 81.96, 62.82 degrees
Element x y z (fractional)
Al: 0.0440 0.0922 0.3092
Al: 0.9560 0.9078 0.6908
Si: 0.3167 0.3182 0.5554
Si: 0.6833 0.6818 0.4446
Cl: 0.4427 0.7975 0.8351
Cl: 0.5573 0.2025 0.1649

Summary:
DOS(E_F), states/eV/atom: 0.157
Crystal system: triclinic
V, Å³/atom: 22.0


Entry ii
Entry from Alexandria: a relaxed AlSiCl crystal (GGA-PBE).

Cell lengths 3.3502, 3.6410, 11.9713 Å; angles 81.44, 82.04, 63.13 degrees
Element x y z (fractional)
Al: 0.6606 0.9071 0.8827
Al: 0.1091 0.4133 0.4862
Cl: 0.7169 0.3347 0.3439
Cl: 0.1496 0.7839 0.0250
Si: 0.0161 0.3522 0.7439
Si: 0.3783 0.7516 0.6263

Summary:
DOS(E_F), states/eV/atom: 0.204
Crystal system: triclinic
V, Å³/atom: 21.4


Entry iii
Entry from Alexandria: a relaxed AlSiCl crystal (GGA-PBE).

Cell lengths 7.4511, 7.4511, 7.4511 Å; angles 156.83, 156.83, 33.00 degrees
Element x y z (fractional)
Al: 0.9966 0.9966 0.0000
Si: 0.6213 0.6213 0.0000
Cl: 0.3822 0.3822 0.0000

Summary:
DOS(E_F), states/eV/atom: 0.235
Crystal system: tetragonal
V, Å³/atom: 21.3


Winner for stability: entry i


Entry i
Entry from Alexandria: a relaxed AlSiCl crystal (GGA-PBE).

Cell lengths 4.2668, 3.7093, 10.2869 Å; angles 90.00, 101.71, 90.00 degrees
Element x y z (fractional)
Cl: 0.8349 0.2500 0.1622
Cl: 0.1651 0.7500 0.8378
Al: 0.0933 0.2500 0.6904
Al: 0.9067 0.7500 0.3096
Si: 0.4648 0.7500 0.4283
Si: 0.5352 0.2500 0.5717

Summary:
DOS(E_F), states/eV/atom: 0.012
Crystal system: monoclinic
V, Å³/atom: 26.6


Entry ii
Entry from Alexandria: a relaxed AlSiCl crystal (GGA-PBE).

Cell lengths 3.9288, 9.6836, 6.8006 Å; angles 90.00, 90.00, 90.00 degrees
Element x y z (fractional)
Cl: 0.2500 0.1376 0.3808
Cl: 0.7500 0.8624 0.3808
Cl: 0.7500 0.6377 0.8808
Cl: 0.2500 0.3624 0.8808
Al: 0.7500 0.2836 0.0603
Al: 0.2500 0.7836 0.5603
Al: 0.7500 0.2164 0.5603
Al: 0.2500 0.7164 0.0603
Si: 0.7500 0.0688 0.8630
Si: 0.2500 0.9312 0.8630
Si: 0.7500 0.4312 0.3630
Si: 0.2500 0.5688 0.3630

Summary:
Crystal system: orthorhombic
V, Å³/atom: 21.6


Winner for stability: entry i


Entry i
Entry from Alexandria: a relaxed AlSiCl crystal (GGA-PBE).

Cell lengths 3.0999, 4.2522, 11.6198 Å; angles 99.85, 90.55, 111.35 degrees
Element x y z (fractional)
Cl: 0.6081 0.1917 0.8419
Cl: 0.3919 0.8083 0.1581
Si: 0.2202 0.4472 0.4141
Si: 0.7798 0.5528 0.5859
Al: 0.9127 0.8396 0.3102
Al: 0.0873 0.1604 0.6898

Summary:
DOS(E_F), states/eV/atom: 0.204
Crystal system: triclinic
V, Å³/atom: 23.4


Entry ii
Entry from Alexandria: a relaxed AlSiCl crystal (GGA-PBE).

Cell lengths 3.1733, 3.1733, 7.3923 Å; angles 90.00, 90.00, 120.00 degrees
Element x y z (fractional)
Cl: 0.6667 0.3333 0.2349
Al: 0.0000 0.0000 0.0101
Si: 0.3333 0.6667 0.7550

Summary:
DOS(E_F), states/eV/atom: 0.324
Crystal system: trigonal
V, Å³/atom: 21.5


Winner for stability: entry i


Entry i
Entry from Alexandria: a relaxed AlSiCl crystal (GGA-PBE).

Cell lengths 3.6151, 4.8098, 9.6025 Å; angles 99.53, 95.75, 96.24 degrees
Element x y z (fractional)
Si: 0.6897 0.0685 0.6783
Si: 0.2288 0.3844 0.6871
Al: 0.5146 0.8021 0.8657
Al: 0.7207 0.5846 0.5369
Cl: 0.0699 0.8646 0.0274
Cl: 0.6654 0.4628 0.3125

Summary:
DOS(E_F), states/eV/atom: 0.149
Crystal system: triclinic
V, Å³/atom: 27.1


Entry ii
Entry from Alexandria: a relaxed AlSiCl crystal (GGA-PBE).

Cell lengths 4.5619, 4.5619, 4.5619 Å; angles 60.00, 60.00, 60.00 degrees
Element x y z (fractional)
Al: 0.0000 0.0000 0.0000
Cl: 0.5000 0.5000 0.5000
Si: 0.2500 0.2500 0.2500

Summary:
DOS(E_F), states/eV/atom: 1.596
Crystal system: cubic
V, Å³/atom: 22.4


Winner for stability: entry i


Entry i
Entry from Alexandria: a relaxed Al3SnCl crystal (GGA-PBE).

Cell lengths 5.4458, 5.4458, 5.4458 Å; angles 90.00, 90.00, 90.00 degrees
Element x y z (fractional)
Sn: 0.0000 0.0000 0.0000
Al: 0.0000 0.0000 0.5000
Al: 0.0000 0.5000 0.0000
Al: 0.5000 0.0000 0.0000
Cl: 0.5000 0.5000 0.5000

Summary:
DOS(E_F), states/eV/atom: 0.279
Crystal system: cubic
V, Å³/atom: 32.3


Entry ii
Entry from Alexandria: a relaxed Al3SnCl crystal (GGA-PBE).

Cell lengths 4.9960, 4.9960, 4.9960 Å; angles 90.00, 90.00, 90.00 degrees
Element x y z (fractional)
Al: 0.5000 0.0000 0.0000
Al: 0.0000 0.0000 0.5000
Al: 0.0000 0.5000 0.0000
Cl: 0.0000 0.0000 0.0000
Sn: 0.5000 0.5000 0.5000

Summary:
DOS(E_F), states/eV/atom: 0.694
Crystal system: cubic
V, Å³/atom: 24.9


Winner for stability: entry ii


Entry i
Entry from Alexandria: a relaxed AlSnCl2 crystal (GGA-PBE).

Cell lengths 5.1522, 5.1522, 5.1522 Å; angles 60.00, 60.00, 60.00 degrees
Element x y z (fractional)
Al: 0.0000 0.0000 0.0000
Cl: 0.2500 0.2500 0.2500
Cl: 0.7500 0.7500 0.7500
Sn: 0.5000 0.5000 0.5000

Summary:
DOS(E_F), states/eV/atom: 0.544
Crystal system: cubic
V, Å³/atom: 24.2


Entry ii
Entry from Alexandria: a relaxed AlSnCl2 crystal (GGA-PBE).

Cell lengths 7.1243, 7.1243, 7.5557 Å; angles 61.87, 61.87, 90.00 degrees
Element x y z (fractional)
Sn: 0.7500 0.2500 0.5000
Sn: 0.0000 0.0000 0.0000
Al: 0.5000 0.5000 0.0000
Al: 0.2500 0.7500 0.5000
Cl: 0.3750 0.5419 0.7500
Cl: 0.2919 0.6250 0.2500
Cl: 0.8750 0.7081 0.7500
Cl: 0.4581 0.1250 0.2500

Summary:
DOS(E_F), states/eV/atom: 0.734
Crystal system: tetragonal
V, Å³/atom: 35.7


Entry iii
Entry from Alexandria: a relaxed AlSnCl2 crystal (GGA-PBE).

Cell lengths 9.6511, 9.6511, 9.6511 Å; angles 21.02, 21.02, 21.02 degrees
Element x y z (fractional)
Cl: 0.0972 0.0972 0.0972
Cl: 0.9028 0.9028 0.9028
Sn: 0.0000 0.0000 0.0000
Al: 0.5000 0.5000 0.5000

Summary:
DOS(E_F), states/eV/atom: 0.285
Crystal system: trigonal
V, Å³/atom: 25.3


Winner for stability: entry iii


Entry i
Entry from Alexandria: a relaxed AlSn3Cl crystal (GGA-PBE).

Cell lengths 5.3969, 5.3969, 5.3969 Å; angles 90.00, 90.00, 90.00 degrees
Element x y z (fractional)
Sn: 0.5000 0.0000 0.0000
Sn: 0.0000 0.5000 0.0000
Sn: 0.0000 0.0000 0.5000
Al: 0.5000 0.5000 0.5000
Cl: 0.0000 0.0000 0.0000

Summary:
DOS(E_F), states/eV/atom: 0.453
Crystal system: cubic
V, Å³/atom: 31.4


Entry ii
Entry from Alexandria: a relaxed AlSn3Cl crystal (GGA-PBE).

Cell lengths 5.3529, 5.3529, 5.3529 Å; angles 90.00, 90.00, 90.00 degrees
Element x y z (fractional)
Al: 0.0000 0.0000 0.0000
Sn: 0.0000 0.5000 0.0000
Sn: 0.5000 0.0000 0.0000
Sn: 0.0000 0.0000 0.5000
Cl: 0.5000 0.5000 0.5000

Summary:
DOS(E_F), states/eV/atom: 0.784
Crystal system: cubic
V, Å³/atom: 30.7


Winner for stability: entry ii


Entry i
Entry from Alexandria: a relaxed SrAlCl crystal (GGA-PBE).

Cell lengths 3.9731, 3.9731, 8.2911 Å; angles 90.00, 90.00, 120.00 degrees
Element x y z (fractional)
Al: 0.0000 0.0000 0.9357
Sr: 0.3333 0.6667 0.6347
Cl: 0.6667 0.3333 0.4296

Summary:
DOS(E_F), states/eV/atom: 0.608
Crystal system: trigonal
V, Å³/atom: 37.8


Entry ii
Entry from Alexandria: a relaxed SrAlCl crystal (GGA-PBE).

Cell lengths 5.3363, 5.3363, 5.3363 Å; angles 60.00, 60.00, 60.00 degrees
Element x y z (fractional)
Sr: 0.5000 0.5000 0.5000
Cl: 0.0000 0.0000 0.0000
Al: 0.7500 0.7500 0.7500

Summary:
DOS(E_F), states/eV/atom: 0.869
Crystal system: cubic
V, Å³/atom: 35.8


Entry iii
Entry from Alexandria: a relaxed SrAlCl crystal (GGA-PBE).

Cell lengths 5.0707, 5.0707, 5.0707 Å; angles 60.00, 60.00, 60.00 degrees
Element x y z (fractional)
Cl: 0.7500 0.7500 0.7500
Al: 0.5000 0.5000 0.5000
Sr: 0.0000 0.0000 0.0000

Summary:
DOS(E_F), states/eV/atom: 0.378
Crystal system: cubic
V, Å³/atom: 30.7


Winner for stability: entry i


Entry i
Entry from Alexandria: a relaxed SrAlCl crystal (GGA-PBE).

Cell lengths 5.3575, 5.3575, 5.3575 Å; angles 60.00, 60.00, 60.00 degrees
Last column: magnetic moment on the atom in μB.
Element x y z (fractional)
Sr: 0.7500 0.7500 0.7500  0.17
Cl: 0.5000 0.5000 0.5000  0.07
Al: 0.0000 0.0000 0.0000  0.23

Summary:
DOS(E_F), states/eV/atom: 1.363
Crystal system: cubic
V, Å³/atom: 36.2


Entry ii
Entry from Alexandria: a relaxed SrAlCl crystal (GGA-PBE).

Cell lengths 8.5773, 8.5773, 3.6708 Å; angles 77.64, 77.64, 24.71 degrees
Element x y z (fractional)
Sr: 0.6824 0.6824 0.3176
Al: 0.0446 0.0446 0.9554
Cl: 0.2730 0.2730 0.7270

Summary:
DOS(E_F), states/eV/atom: 0.715
Crystal system: tetragonal
V, Å³/atom: 36.7


Winner for stability: entry ii


Entry i
Entry from Alexandria: a relaxed SrAl2Cl8 crystal (GGA-PBE).

Cell lengths 10.0076, 10.3511, 10.6820 Å; angles 57.91, 62.07, 61.09 degrees
Element x y z (fractional)
Cl: 0.4424 0.7087 0.5060
Cl: 0.8638 0.4853 0.4388
Cl: 0.2708 0.1699 0.5082
Cl: 0.7879 0.0147 0.0612
Cl: 0.6571 0.7913 0.9940
Cl: 0.1362 0.5147 0.5612
Cl: 0.3578 0.5226 0.1986
Cl: 0.0511 0.6699 0.0082
Cl: 0.9489 0.3301 0.9918
Cl: 0.7292 0.8301 0.4918
Cl: 0.2121 0.9853 0.9388
Cl: 0.6422 0.4774 0.8014
Cl: 0.3429 0.2087 0.0060
Cl: 0.5576 0.2913 0.4940
Cl: 0.0790 0.9774 0.3014
Cl: 0.9210 0.0226 0.6986
Sr: 0.0304 0.7500 0.2500
Sr: 0.9696 0.2500 0.7500
Al: 0.1552 0.1330 0.0611
Al: 0.8448 0.8670 0.9389
Al: 0.3493 0.3670 0.4389
Al: 0.6507 0.6330 0.5611

Summary:
DOS(E_F), states/eV/atom: 0.000
Crystal system: monoclinic
V, Å³/atom: 35.8


Entry ii
Entry from Alexandria: a relaxed SrAl2Cl8 crystal (GGA-PBE).

Cell lengths 11.7752, 11.9055, 20.2724 Å; angles 90.00, 90.00, 90.00 degrees
Element x y z (fractional)
Cl: 0.6431 0.5873 0.4963
Cl: 0.1631 0.7186 0.9219
Cl: 0.7111 0.2607 0.4034
Cl: 0.9068 0.8891 0.9832
Cl: 0.8369 0.7814 0.4219
Cl: 0.1042 0.6606 0.2879
Cl: 0.1042 0.1606 0.2121
Cl: 0.7889 0.2607 0.9034
Cl: 0.0932 0.1109 0.0168
Cl: 0.5028 0.5958 0.1719
Cl: 0.6631 0.7814 0.9219
Cl: 0.1431 0.9127 0.4963
Cl: 0.3013 0.3992 0.2370
Cl: 0.1987 0.3992 0.7370
Cl: 0.3369 0.2186 0.0781
Cl: 0.6987 0.1008 0.7370
Cl: 0.4917 0.5103 0.3418
Cl: 0.7889 0.7607 0.5966
Cl: 0.0028 0.4042 0.3281
Cl: 0.4972 0.9042 0.6719
Cl: 0.4068 0.6109 0.9832
Cl: 0.9917 0.9897 0.3418
Cl: 0.5932 0.8891 0.4832
Cl: 0.0083 0.5103 0.8418
Cl: 0.6987 0.6008 0.7630
Cl: 0.7111 0.7607 0.0966
Cl: 0.1631 0.2186 0.5781
Cl: 0.3569 0.9127 0.9963
Cl: 0.2111 0.2393 0.4034
Cl: 0.8013 0.1008 0.2370
Cl: 0.3013 0.8992 0.2630
Cl: 0.8958 0.8394 0.7879
Cl: 0.6631 0.2814 0.5781
Cl: 0.5083 0.4897 0.6582
Cl: 0.5083 0.9897 0.8418
Cl: 0.6042 0.3394 0.2121
Cl: 0.8569 0.5873 0.9963
Cl: 0.0028 0.9042 0.1719
Cl: 0.8369 0.2814 0.0781
Cl: 0.4068 0.1109 0.5168
Cl: 0.2889 0.7393 0.5966
Cl: 0.2111 0.7393 0.0966
Cl: 0.9972 0.5958 0.6719
Cl: 0.6431 0.0873 0.0037
Cl: 0.9917 0.4897 0.1582
Cl: 0.9972 0.0958 0.8281
Cl: 0.8569 0.0873 0.5037
Cl: 0.0083 0.0103 0.6582
Cl: 0.1431 0.4127 0.0037
Cl: 0.3958 0.6606 0.7879
Cl: 0.1987 0.8992 0.7630
Cl: 0.4917 0.0103 0.1582
Cl: 0.5028 0.0958 0.3281
Cl: 0.4972 0.4042 0.8281
Cl: 0.3569 0.4127 0.5037
Cl: 0.6042 0.8394 0.2879
Cl: 0.9068 0.3891 0.5168
Cl: 0.3958 0.1606 0.7121
Cl: 0.2889 0.2393 0.9034
Cl: 0.5932 0.3891 0.0168
Cl: 0.3369 0.7186 0.4219
Cl: 0.0932 0.6109 0.4832
Cl: 0.8958 0.3394 0.7121
Cl: 0.8013 0.6008 0.2630
Al: 0.9748 0.0410 0.2401
Al: 0.7138 0.7549 0.4993
Al: 0.7138 0.2549 0.0007
Al: 0.4748 0.9590 0.2599
Al: 0.0252 0.4590 0.7401
Al: 0.2862 0.7451 0.9993
Al: 0.5252 0.5410 0.7599
Al: 0.4748 0.4590 0.2401
Al: 0.7862 0.7549 0.9993
Al: 0.2138 0.7451 0.4993
Al: 0.2862 0.2451 0.5007
Al: 0.9748 0.5410 0.2599
Al: 0.5252 0.0410 0.7401
Al: 0.2138 0.2451 0.0007
Al: 0.0252 0.9590 0.7599
Al: 0.7862 0.2549 0.5007
Sr: 0.2372 0.4921 0.3756
Sr: 0.7628 0.0079 0.8756
Sr: 0.7372 0.0079 0.3756
Sr: 0.7628 0.5079 0.6244
Sr: 0.2628 0.4921 0.8756
Sr: 0.2628 0.9921 0.6244
Sr: 0.7372 0.5079 0.1244
Sr: 0.2372 0.9921 0.1244

Summary:
DOS(E_F), states/eV/atom: 0.000
Crystal system: orthorhombic
V, Å³/atom: 32.3


Winner for stability: entry ii